This record from Alexandria via LeMat-Bulk describes an optimized crystal structure of NdSm2Er2Tm. The functional is PBE.

Values from the calculation:
total DFT energy (no corrections): -4.363 eV per atom
Fermi-level density of states: 18.60 states/eV/cell
crystal system: orthorhombic
energy relative to the elements: 271.2 meV per atom

abc: 6.6051 17.6346 3.3960
angles: 90.00 90.00 90.00
Last column: nearest neighbours and their distance in Å.
Atoms (fractional coordinates):
Nd (0.0000, 0.0000, 0.0000)  2 Sm 3.22, 2 Nd 3.40, 2 Er 3.52
Nd (0.5000, 0.5000, 0.5000)  2 Sm 3.22, 2 Nd 3.40, 2 Er 3.52
Sm (0.2244, 0.3492, 0.5000)  1 Nd 3.22, 4 Er 3.31-3.43, 2 Sm 3.40, 2 Tm 3.49
Sm (0.2756, 0.8492, 0.0000)  1 Nd 3.22, 4 Er 3.31-3.43, 2 Sm 3.40, 2 Tm 3.49
Sm (0.7244, 0.1508, 0.0000)  1 Nd 3.22, 4 Er 3.31-3.43, 2 Sm 3.40, 2 Tm 3.49
Sm (0.7756, 0.6508, 0.5000)  1 Nd 3.22, 4 Er 3.31-3.43, 2 Sm 3.40, 2 Tm 3.49
Er (0.2293, 0.1803, 0.0000)  4 Sm 3.31-3.43, 2 Er 3.40, 1 Nd 3.52
Er (0.2707, 0.6803, 0.5000)  4 Sm 3.31-3.43, 2 Er 3.40, 1 Nd 3.52
Er (0.7293, 0.3197, 0.5000)  4 Sm 3.31-3.43, 2 Er 3.40, 1 Nd 3.52
Er (0.7707, 0.8197, 0.0000)  4 Sm 3.31-3.43, 2 Er 3.40, 1 Nd 3.52
Tm (0.0000, 0.5000, 0.0000)  2 Tm 3.40, 4 Sm 3.49, 4 Nd 3.71
Tm (0.5000, 0.0000, 0.5000)  2 Tm 3.40, 4 Sm 3.49, 4 Nd 3.71